An optimized crystal structure of K2SrNbAl, computed with PBE-GGA.

Lattice parameters (Å, degrees): 6.463 5.285 6.463 90.00 90.00 90.00
Last column: magnetic moment on the atom in μB.
Fractional coordinates of all 5 atoms:
Sr  0.500  0.500  0.500  -0.04
Nb  0.000  0.000  0.000  2.47
K  0.000  0.000  0.500  0.04
K  0.500  0.000  0.000  0.04
Al  0.000  0.500  0.000  -0.03

Results
Formation energy: 0.980 eV/atom
DOS at the Fermi energy: 0.997 states/eV/atom
Total DFT energy (no corrections): -12.789 eV/cell